DFT (SCAN) results for a PBEsol-optimized structure of Li6Br3N.

Summary:
Calculated volume   17.14 A^3/atom
N(E_F)   0.000 states/eV/cell
Energy relative to the lowest polymorph listed for this composition   0.0088 eV/atom
Raw formation energy   -12.2 eV/f.u.
Magnetic moment   0.21 μB/cell
E   -9.426 eV/atom

a = 6.164 Å, b = 6.285 Å, c = 10.751 Å
α = 90.00°, β = 124.58°, γ = 90.00°
Space group P2_1/c (No. 14)
Symmetry-distinct sites (fractional):
Li 0.088 0.237 0.423
Li 0.216 0.670 0.965
Li 0.300 0.066 0.700
Br 0.248 0.024 0.257
Br 0.500 0.000 0.000
N 0.000 0.000 0.500



DFT (SCAN) results for a PBEsol-optimized structure of LiBr2N2.

Summary:
Calculated volume   21.63 A^3/atom
N(E_F)   7.256 states/eV/cell
Raw formation energy   -1.1 eV/f.u.
Magnetic moment   0.02 μB/cell
E   -12.189 eV/atom

a = 4.875 Å, b = 4.875 Å, c = 9.099 Å
α = 90.00°, β = 90.00°, γ = 90.00°
Space group I4/mmm (No. 139)
Symmetry-distinct sites (fractional):
Li 0.000 0.000 0.000
Br 0.000 0.500 0.250
N 0.000 0.000 0.439



DFT (SCAN) results for a PBEsol-optimized structure of Li3BrN.

Summary:
Calculated volume   18.87 A^3/atom
N(E_F)   1.427 states/eV/cell
Raw formation energy   0.8 eV/f.u.
Magnetic moment   1.00 μB/cell
E   -7.028 eV/atom

a = 4.552 Å, b = 4.552 Å, c = 4.552 Å
α = 90.00°, β = 90.00°, γ = 90.00°
Space group Pm-3m (No. 221)
Symmetry-distinct sites (fractional):
Li 0.000 0.000 0.500
Br 0.000 0.000 0.000
N 0.500 0.500 0.500